Material: Li2ZnTc
Method: DFT, GGA-PBE
State: optimized geometry

The structure belongs to space group Pm (No. 6); the cell edges are 2.509, 4.601 and 4.960 Å and the angles 90.00°, 90.05° and 90.00°. Symmetry generates all atoms from Li at (0.000, 0.000, 0.000), Li at (0.498, 0.500, 0.829), Zn at (0.000, 0.500, 0.358) and Tc at (0.501, 0.000, 0.491).

The value obtained for the final energy is -3.75 eV/atom.

---

Material: TiSn2Pt2
Method: DFT, GGA-PBE
State: optimized geometry

The structure belongs to space group P4/mbm (No. 127); the cell edges are 6.987, 6.987 and 4.032 Å and the angles 90.00°, 90.00° and 90.00°. Symmetry generates all atoms from Ti at (0.000, 0.000, 0.000), Sn at (0.173, 0.327, 0.500) and Pt at (0.137, 0.637, 0.000).

The value obtained for the final energy is -5.94 eV/atom.

---

Material: Ir2OsOF
Method: DFT, GGA-PBE
State: optimized geometry

The structure belongs to space group P4/mmm (No. 123); the cell edges are 4.458, 4.458 and 3.897 Å and the angles 90.00°, 90.00° and 90.00°. Symmetry generates all atoms from Ir at (0.000, 0.500, 0.000), Os at (0.000, 0.000, 0.500), O at (0.500, 0.500, 0.500) and F at (0.000, 0.000, 0.000).

For the uncorrected formation energy, the calculation gives 2207.8 meV per atom.

---

Material: NbFe2Cu2
Method: DFT, GGA-PBE
State: optimized geometry

The structure belongs to space group I4/mmm (No. 139); the cell edges are 3.471, 3.471 and 11.431 Å and the angles 90.00°, 90.00° and 90.00°. Symmetry generates all atoms from Nb at (0.000, 0.000, 0.000), Fe at (0.000, 0.000, 0.405) and Cu at (0.000, 0.500, 0.250).

The value obtained for the final energy is -6.75 eV/atom.

---

Material: NiPNCl2
Method: DFT, GGA-PBE
State: optimized geometry

The structure belongs to space group P4/mmm (No. 123); the cell edges are 5.539, 5.539 and 3.235 Å and the angles 90.00°, 90.00° and 90.00°. Symmetry generates all atoms from Ni at (0.000, 0.000, 0.000), P at (0.500, 0.500, 0.000), N at (0.500, 0.500, 0.500) and Cl at (0.000, 0.500, 0.500).

For the uncorrected formation energy, the calculation gives 1083.5 meV per atom.

---

Material: PrNd3Hg6
Method: DFT, GGA-PBE
State: optimized geometry

The structure belongs to space group P2_1/m (No. 11); the cell edges are 9.544, 5.272 and 11.438 Å and the angles 90.00°, 106.99° and 90.00°. Symmetry generates all atoms from Pr at (0.064, 0.250, 0.386), Nd at (0.224, 0.250, 0.008), Nd at (0.354, 0.750, 0.797), Nd at (0.493, 0.250, 0.615), Hg at (0.063, 0.750, 0.900), Hg at (0.138, 0.750, 0.200), Hg at (0.164, 0.250, 0.689), Hg at (0.244, 0.750, 0.510), Hg at (0.346, 0.250, 0.295) and Hg at (0.462, 0.750, 0.089).

The value obtained for the final energy is -2.53 eV/atom.

---

Material: SmDyTmZn
Method: DFT, GGA-PBE
State: optimized geometry

The structure belongs to space group P4mm (No. 99); the cell edges are 3.556, 3.556 and 8.653 Å and the angles 90.00°, 90.00° and 90.00°. Symmetry generates all atoms from Sm at (0.000, 0.000, 0.000), Dy at (0.500, 0.500, 0.701), Tm at (0.500, 0.500, 0.295) and Zn at (0.000, 0.000, 0.493).

The value obtained for the final energy is -3.93 eV/atom.

---

Material: LiP2Ru
Method: DFT, GGA-PBE
State: optimized geometry

The structure belongs to space group R3m (No. 160, hexagonal axes); the cell edges are 2.9873, 2.9873 and 22.1687 Å and the angles 90.00°, 90.00° and 120.00°. Symmetry generates all atoms from Li at (0.0000, 0.0000, 0.0000), P at (0.0000, 0.0000, 0.2461), P at (0.0000, 0.0000, 0.5044) and Ru at (0.0000, 0.0000, 0.7672).

The value obtained for the final energy is -5.47 eV/atom.